ZnCdAu3 | meta-GGA SCAN | single point on PBEsol structure

Its calculated formation energy is 797 meV per atom. As for the space group: No. 221.

Unit cell a=5.0523 b=5.0523 c=5.0523 alpha=90.00 beta=90.00 gamma=90.00
Fractional coordinates of all 5 atoms:
Zn 0.0000 0.0000 0.0000
Cd 0.5000 0.5000 0.5000
Au 0.0000 0.5000 0.5000
Au 0.5000 0.0000 0.5000
Au 0.5000 0.5000 0.0000